No. 1
Here is a geometry-optimized LiLa2Ir2 structure from Alexandria via LeMat-Bulk. Energies are from GGA-PBE.

Results
Total energy ... -6.20 eV per atom
Total magnetization ... 0.0 μB/f.u.
Formation energy from the elements ... -0.304 eV per atom
Excess energy over the best structure of this formula in the dataset ... 0.284 eV per atom

a b c (Å): 8.3392 8.3392 3.4424
angles (deg): 90.00 90.00 90.00
With the nearest neighbours (Å) after each atom.
Fractional coordinates of all 10 atoms:
La (0.3514, 0.8514, 0.0000)  6 Ir 2.94-3.02, 2 Li 3.18
La (0.8514, 0.6486, 0.0000)  6 Ir 2.94-3.02, 2 Li 3.18
La (0.1486, 0.3514, 0.0000)  6 Ir 2.94-3.02, 2 Li 3.18
La (0.6486, 0.1486, 0.0000)  6 Ir 2.94-3.02, 2 Li 3.18
Li (0.0000, 0.0000, 0.0000)  4 La 3.18, 2 Li 3.44
Li (0.5000, 0.5000, 0.0000)  4 La 3.18, 2 Li 3.44
Ir (0.3509, 0.1491, 0.5000)  6 La 2.94-3.02
Ir (0.8509, 0.3509, 0.5000)  6 La 2.94-3.02
Ir (0.6491, 0.8509, 0.5000)  6 La 2.94-3.02
Ir (0.1491, 0.6491, 0.5000)  6 La 2.94-3.02

No. 2
Here is a geometry-optimized LiLaIr2 structure from Alexandria via LeMat-Bulk. Energies are from GGA-PBE.

Results
Total energy ... -6.27 eV per atom
Total magnetization ... 0.0 μB/f.u.
Formation energy from the elements ... -0.125 eV per atom

a b c (Å): 4.6281 4.6281 8.9740
angles (deg): 75.06 75.06 90.00
With the nearest neighbours (Å) after each atom.
Fractional coordinates of all 8 atoms:
La (0.0000, 0.0000, 0.0000)  4 Ir 3.07, 4 Li 3.27
La (0.7500, 0.2500, 0.5000)  4 Ir 3.07, 4 Li 3.27
Ir (0.2912, 0.6250, 0.2500)  2 Li 2.42, 2 Ir 2.44
Ir (0.3750, 0.5412, 0.7500)  2 Li 2.42, 2 Ir 2.44
Ir (0.4588, 0.1250, 0.2500)  2 Li 2.42, 2 Ir 2.44
Ir (0.8750, 0.7088, 0.7500)  2 Li 2.42, 2 Ir 2.44
Li (0.5000, 0.5000, 0.0000)  4 Ir 2.42
Li (0.2500, 0.7500, 0.5000)  4 Ir 2.42

No. 3
Here is a geometry-optimized LiLa2Ir structure from Alexandria via LeMat-Bulk. Energies are from GGA-PBE.

Results
Total energy ... -5.49 eV per atom
Total magnetization ... 0.0 μB/f.u.
Formation energy from the elements ... -0.331 eV per atom

a b c (Å): 3.6576 3.7103 8.6925
angles (deg): 67.18 90.00 90.00
With the nearest neighbours (Å) after each atom.
Fractional coordinates of all 4 atoms:
La (0.0000, 0.0148, 0.9565)  4 Ir 2.98-3.20, 1 La 3.33
La (0.0000, 0.4852, 0.5435)  4 Ir 2.98-3.20, 1 La 3.33
Ir (0.5000, 0.7500, 0.7500)  8 La 2.98-3.20
Li (0.5000, 0.2500, 0.2500)  8 La 3.51, 4 Li 3.66-3.71